Entry 1:
Material: Pa4SiIrSe2
Method: DFT, PBE
State: optimized geometry

Results
As for the magnetization: 0.00 μB per formula unit. The formation energy from raw total energies comes out at -20.970 kcal/mol of atoms. The volume is 191.95 Å³/cell.

a = 3.9698 Å, b = 7.0965 Å, c = 7.1821 Å
α = 71.57°, β = 90.00°, γ = 90.00°
Last column: nearest neighbours and their distance in Å.
Atoms (fractional coordinates):
Pa1 0.0000 0.7287 0.7624  2 Ir 2.78, 1 Si 2.85, 3 Se 2.95-2.98
Pa2 0.0000 0.2713 0.2376  2 Ir 2.78, 1 Si 2.85, 3 Se 2.95-2.98
Pa3 0.5000 0.7365 0.2511  1 Ir 2.83, 2 Si 2.84, 3 Se 2.93-2.97
Pa4 0.5000 0.2635 0.7489  1 Ir 2.83, 2 Si 2.84, 3 Se 2.93-2.97
Si1 0.0000 0.5000 0.5000  6 Pa 2.84-2.85
Ir1 0.5000 0.5000 0.0000  6 Pa 2.78-2.83
Se1 0.0000 0.0000 0.0000  6 Pa 2.93-2.95
Se2 0.5000 0.0000 0.5000  6 Pa 2.97-2.98

Entry 2:
Material: SmPaIrSe
Method: DFT, PBE
State: optimized geometry

Results
As for the magnetization: 0.00 μB per formula unit. The formation energy from raw total energies comes out at -25.590 kcal/mol of atoms. The volume is 101.64 Å³/cell.

a = 3.9923 Å, b = 3.9929 Å, c = 7.7156 Å
α = 90.00°, β = 105.01°, γ = 120.00°
Last column: nearest neighbours and their distance in Å.
Atoms (fractional coordinates):
Sm1 0.4846 0.1402 0.6401  3 Ir 2.94, 3 Se 3.11
Pa1 0.1141 0.9550 0.0843  3 Ir 2.72
Ir1 0.3168 0.5563 0.8884  3 Pa 2.72, 3 Sm 2.94
Se1 0.9624 0.3793 0.3569  3 Pa 3.06, 3 Sm 3.11